Entry from Alexandria: a geometry-optimized Ba2LiC2O6 structure (PBE).

symmetry	Pm (6)
relative energy among the computed polymorphs	0.471	eV per formula unit
ΔE_f (raw)	-1.926	eV per atom

Cell lengths 5.577, 4.522, 6.900 Å; angles 77.30, 90.00, 90.00 degrees
Each line ends with the local moment (μB).
Fractional positions:
O1 0.794 0.850 0.825  0.08
O2 0.206 0.850 0.825  0.08
O3 0.500 0.438 0.369  0.00
O4 0.297 0.188 0.172  0.00
O5 0.703 0.188 0.172  0.00
O6 0.000 0.534 0.656  0.09
C1 0.500 0.266 0.240  0.01
C2 0.000 0.698 0.802  0.23
Li1 0.000 0.175 0.861  0.03
Ba1 0.000 0.651 0.251  0.04
Ba2 0.500 0.376 0.764  0.01

=====

Entry from Alexandria: a geometry-optimized Ba2LiC2O6 structure (PBE).

symmetry	Pm (6)
relative energy among the computed polymorphs	0.000	eV per formula unit
ΔE_f (raw)	-1.969	eV per atom

Cell lengths 4.440, 5.425, 6.951 Å; angles 90.00, 108.87, 89.99 degrees
Each line ends with the local moment (μB).
Fractional positions:
O1 0.173 0.979 0.797  0.09
O2 0.925 0.268 0.136  0.00
O3 0.714 0.477 0.342  0.00
O4 0.430 0.768 0.606  0.08
O5 0.172 0.557 0.796  0.09
O6 0.715 0.059 0.342  0.00
Ba1 0.150 0.768 0.160  0.04
Ba2 0.628 0.268 0.716  0.02
C1 0.326 0.768 0.772  0.23
C2 0.783 0.268 0.273  0.00
Li1 0.836 0.768 0.550  0.01

=====

Entry from Alexandria: a geometry-optimized BaLiC2O6 structure (PBE).

symmetry	R-3m (166)
ΔE_f (raw)	-1.826	eV per atom

Cell lengths 5.126, 5.126, 6.447 Å; angles 66.57, 66.57, 60.00 degrees
Each line ends with the local moment (μB).
Fractional positions:
Ba1 0.000 0.000 0.000  -0.01
O1 0.610 0.611 0.734  0.15
O2 0.046 0.610 0.734  0.15
O3 0.611 0.046 0.734  0.15
O4 0.389 0.954 0.266  0.15
O5 0.390 0.389 0.266  0.15
O6 0.954 0.390 0.266  0.15
C1 0.757 0.757 0.728  -0.01
C2 0.243 0.243 0.272  -0.01
Li1 0.500 0.500 0.500  0.00

=====

Entry from Alexandria: a geometry-optimized Ba2LiRhC structure (PBE).

symmetry	P4/mmm (123)
energy of formation	0.07	eV per atom

Cell lengths 5.958, 3.941, 5.958 Å; angles 90.00, 90.00, 90.00 degrees
Fractional positions:
Ba1 0.000 0.000 0.500
Ba2 0.500 0.000 0.000
C1 0.000 0.000 0.000
Rh1 0.000 0.500 0.000
Li1 0.500 0.500 0.500

=====

Entry from Alexandria: a geometry-optimized BaLi2Rh2C structure (PBE).

symmetry	P4/mmm (123)
energy of formation	-0.13	eV per atom

Cell lengths 4.087, 4.087, 6.344 Å; angles 90.00, 90.00, 90.00 degrees
Fractional positions:
Li1 0.500 0.500 0.763
Li2 0.500 0.500 0.237
C1 0.000 0.000 0.000
Rh1 0.500 0.000 0.000
Rh2 0.000 0.500 0.000
Ba1 0.000 0.000 0.500

=====

Entry from Alexandria: a geometry-optimized BaLiRhC2 structure (PBE).

symmetry	P4/mmm (123)
energy of formation	2.05	eV per atom

Cell lengths 4.084, 4.897, 4.084 Å; angles 90.00, 90.00, 90.00 degrees
Fractional positions:
Rh1 0.500 0.500 0.500
Ba1 0.000 0.500 0.000
C1 0.500 0.000 0.000
C2 0.000 0.000 0.500
Li1 0.000 0.000 0.000

=====

Entry from Alexandria: a geometry-optimized BaLi2SnC structure (PBE).

symmetry	P4/mmm (123)
energy of formation	1.37	eV per atom

Cell lengths 5.771, 4.542, 5.771 Å; angles 90.00, 90.00, 90.00 degrees
Fractional positions:
Li1 0.500 0.000 0.000
Li2 0.000 0.000 0.500
Ba1 0.000 0.000 0.000
C1 0.000 0.500 0.000
Sn1 0.500 0.500 0.500

=====

Entry from Alexandria: a geometry-optimized BaLu2C structure (PBE).

symmetry	R-3m (166)
energy of formation	-0.08	eV per atom

Cell lengths 3.551, 3.551, 10.275 Å; angles 80.05, 80.05, 60.00 degrees
Fractional positions:
Ba1 0.000 0.000 0.000
Lu1 0.124 0.124 0.629
Lu2 0.876 0.876 0.371
C1 0.500 0.500 0.500